A plane-wave DFT calculation with PBE was carried out for crystalline La3Tb4Ho3 at its relaxed geometry.

Its density of states at the Fermi level is 1.268 states/eV per atom. The calculation puts the calculated density at 7.53 g/cm³. The energy of formation from the pure elements is 0.084 eV per atom.

The structure belongs to space group Amm2 (No. 38); the cell edges are 3.7365, 13.5248 and 13.5015 Å and the angles 90.00°, 90.00° and 90.00°. The distinct sites, in fractional coordinates, are La at (0.0000, 0.0000, 0.0000), La at (0.5000, 0.2448, 0.4214), Tb at (0.5000, 0.0000, 0.5480), Tb at (0.5000, 0.0000, 0.7937), Tb at (0.5000, 0.1255, 0.1777), Ho at (0.0000, 0.0000, 0.3464) and Ho at (0.0000, 0.1712, 0.6720).